Entry one
Here is crystalline HfTiSb3 at its relaxed geometry from the Alexandria database. Energies are from PBE-GGA.

Output
- Calculated density: 7.7 g/cm³
- Space group: Cmc2_1 (36)

extended XYZ file:
```
10
Lattice="3.798 0.000 0.000 0.000 7.375 0.000 -1.899 0.000 9.100" Properties=species:S:1:pos:R:3 pbc="T T T"
Hf 1.899 7.023 6.336
Hf 0.000 3.335 2.764
Ti 0.000 4.005 6.196
Ti 1.899 0.318 2.904
Sb 1.899 2.336 7.479
Sb 0.000 6.024 1.621
Sb 1.899 2.229 0.957
Sb 0.000 5.917 8.143
Sb 1.899 5.013 4.288
Sb 0.000 1.326 4.812
```

---

Entry two
Here is crystalline HfTiSb3 at its relaxed geometry from the Alexandria database. Energies are from PBE-GGA.

Output
- Calculated density: 7.0 g/cm³
- Space group: Pm-3m (221)

extended XYZ file:
```
5
Lattice="-1.143 2.044 4.631 -3.037 -4.075 1.049 4.049 -2.479 2.094" Properties=species:S:1:pos:R:3 pbc="T T T"
Sb -1.519 -2.037 0.525
Sb 2.025 -1.240 1.047
Sb -0.572 1.022 2.315
Hf -0.066 -2.255 3.887
Ti 0.000 0.000 0.000
```

---

List of relative energies, unit eV/atom: entry one 0.000; entry two 0.737

---

Entry one
Here is crystalline HfTi2Sb2 at its relaxed geometry from the Alexandria database. Energies are from PBE-GGA.

Output
- Calculated density: 8.5 g/cm³
- Space group: P4/mbm (127)

extended XYZ file:
```
10
Lattice="7.584 0.000 0.000 0.000 7.584 0.000 0.000 0.000 3.531" Properties=species:S:1:pos:R:3 pbc="T T T"
Sb 2.674 6.466 0.000
Sb 6.466 4.909 0.000
Sb 4.909 1.118 0.000
Sb 1.118 2.674 0.000
Hf 0.000 0.000 0.000
Hf 3.792 3.792 0.000
Ti 1.118 4.910 1.766
Ti 4.910 6.466 1.766
Ti 6.466 2.674 1.766
Ti 2.674 1.118 1.766
```

---

Entry two
Here is crystalline HfTi2Sb2 at its relaxed geometry from the Alexandria database. Energies are from PBE-GGA.

Output
- Calculated density: 7.6 g/cm³
- Space group: I4/mmm (139)

extended XYZ file:
```
5
Lattice="-2.364 2.449 2.263 1.805 -1.393 3.393 4.378 5.448 2.370" Properties=species:S:1:pos:R:3 pbc="T T T"
Sb 0.867 4.212 3.731
Sb 2.952 2.291 4.295
Hf 0.000 0.000 0.000
Ti 0.615 1.473 2.740
Ti 3.203 5.030 5.286
```

---

Entry three
Here is crystalline HfTi2Sb2 at its relaxed geometry from the Alexandria database. Energies are from PBE-GGA.

Output
- Calculated density: 7.8 g/cm³
- Space group: C2/c (15)

extended XYZ file:
```
10
Lattice="-7.029 -0.066 0.982 2.232 -4.762 4.767 1.981 4.848 1.169" Properties=species:S:1:pos:R:3 pbc="T T T"
Hf -3.668 0.804 4.553
Hf 0.851 -0.784 2.365
Ti 1.355 -1.678 5.127
Ti -1.045 -3.387 3.967
Ti -4.172 1.698 1.791
Ti -1.772 3.407 2.952
Sb 0.809 2.164 2.528
Sb -1.701 0.510 1.322
Sb -1.116 -0.491 5.596
Sb -3.626 -2.144 4.390
```

---

List of relative energies, unit eV/atom: entry one 0.000; entry two 0.698; entry three 0.199

---

Entry one
Here is crystalline Hf3TiSb2 at its relaxed geometry from the Alexandria database. Energies are from PBE-GGA.

Output
- Calculated density: 10.9 g/cm³
- Space group: Cmmm (65)

extended XYZ file:
```
12
Lattice="-1.480 3.841 0.785 -7.124 -3.422 3.309 7.319 -0.346 4.307" Properties=species:S:1:pos:R:3 pbc="T T T"
Hf 4.798 0.719 5.527
Hf -6.083 -0.646 2.874
Hf 3.044 2.686 3.786
Hf -0.767 -0.902 2.962
Hf -4.329 -2.612 4.616
Hf -0.518 0.975 5.440
Ti -3.562 -1.711 1.654
Ti 0.000 0.000 0.000
Sb 2.122 -0.096 4.469
Sb 0.155 1.880 2.278
Sb -1.440 -1.807 6.123
Sb -3.407 0.169 3.933
```

---

Entry two
Here is crystalline Hf3TiSb2 at its relaxed geometry from the Alexandria database. Energies are from PBE-GGA.

Output
- Calculated density: 10.8 g/cm³
- Space group: Immm (71)

extended XYZ file:
```
6
Lattice="-2.202 1.000 -3.064 1.555 -3.255 -2.180 -5.383 -3.371 5.258" Properties=species:S:1:pos:R:3 pbc="T T T"
Hf -0.324 -1.128 -2.622
Hf -4.806 -2.424 0.180
Hf -1.223 -3.203 -0.166
Ti 0.000 0.000 0.000
Sb -3.376 -4.904 0.830
Sb -2.654 -0.722 -0.816
```

---

List of relative energies, unit eV/atom: entry one 0.105; entry two 0.000

---

Entry one
Here is crystalline Hf2TiSb2 at its relaxed geometry from the Alexandria database. Energies are from PBE-GGA.

Output
- Calculated density: 10.0 g/cm³
- Space group: P4/mbm (127)

extended XYZ file:
```
10
Lattice="-6.145 -3.577 2.241 -0.337 -3.529 -6.558 2.188 -2.863 1.428" Properties=species:S:1:pos:R:3 pbc="T T T"
Sb -2.446 -4.261 -4.796
Sb -5.450 -5.334 -2.346
Sb -4.036 -2.845 0.479
Sb -1.032 -1.772 -1.971
Hf -0.068 -4.285 -3.227
Hf -3.206 -6.756 -3.376
Hf -4.226 -5.684 0.337
Hf -1.089 -3.213 0.486
Ti 0.000 0.000 0.000
Ti -3.241 -3.553 -2.159
```

---

Entry two
Here is crystalline Hf2TiSb2 at its relaxed geometry from the Alexandria database. Energies are from PBE-GGA.

Output
- Calculated density: 10.1 g/cm³
- Space group: Cmc2_1 (36)

extended XYZ file:
```
10
Lattice="-4.358 -1.149 1.591 2.015 -0.200 5.375 0.517 8.128 0.108" Properties=species:S:1:pos:R:3 pbc="T T T"
Hf -2.072 6.338 6.081
Hf -2.564 4.414 3.344
Hf 1.187 2.321 4.929
Hf 0.552 0.411 1.808
Ti -1.125 5.600 0.964
Ti -1.489 1.257 4.008
Sb -0.397 6.527 3.627
Sb -1.378 3.537 5.959
Sb 0.017 3.197 2.355
Sb -2.327 0.341 1.052
```

---

List of relative energies, unit eV/atom: entry one 0.044; entry two 0.000

---

Entry one
Here is crystalline TmHfSb2 at its relaxed geometry from the Alexandria database. Energies are from PBE-GGA.

Output
- Calculated density: 9.2 g/cm³
- Space group: R3m (160)

extended XYZ file:
```
4
Lattice="4.121 0.000 0.000 2.060 3.568 0.000 2.060 1.189 7.260" Properties=species:S:1:pos:R:3 pbc="T T T"
Tm 6.181 3.568 7.200
Hf 4.121 2.379 3.669
Sb 2.060 1.189 5.383
Sb 2.060 1.189 1.897
```

---

Entry two
Here is crystalline TmHfSb2 at its relaxed geometry from the Alexandria database. Energies are from PBE-GGA.

Output
- Calculated density: 9.3 g/cm³
- Space group: R-3m (166)

extended XYZ file:
```
4
Lattice="4.190 0.000 0.000 2.095 3.628 0.000 2.095 1.209 6.949" Properties=species:S:1:pos:R:3 pbc="T T T"
Sb 2.095 1.209 1.647
Sb 6.284 3.628 5.302
Tm 4.190 2.419 3.474
Hf 0.000 0.000 0.000
```

---

List of relative energies, unit eV/atom: entry one 0.043; entry two 0.000

---

Entry one
Here is crystalline HfVSb2 at its relaxed geometry from the Alexandria database. Energies are from PBE-GGA.

Output
- Calculated density: 6.0 g/cm³
- Space group: I-42d (122)

extended XYZ file:
```
8
Lattice="6.323 0.000 0.000 0.000 6.323 0.000 3.162 3.162 6.527" Properties=species:S:1:pos:R:3 pbc="T T T"
Sb 4.659 1.581 1.632
Sb 1.664 4.742 1.632
Sb 4.742 4.826 4.895
Sb 7.904 7.820 4.895
Hf 0.000 0.000 0.000
Hf 6.323 3.162 3.263
V 3.162 3.162 0.000
V 3.162 6.323 3.263
```

---

Entry two
Here is crystalline HfVSb2 at its relaxed geometry from the Alexandria database. Energies are from PBE-GGA.

Output
- Calculated density: 8.7 g/cm³
- Space group: R-3m (166)

extended XYZ file:
```
4
Lattice="-1.114 -0.043 -3.048 2.083 -0.046 -2.488 0.287 -9.884 -1.692" Properties=species:S:1:pos:R:3 pbc="T T T"
Sb 0.298 -6.936 -1.738
Sb 0.958 -3.038 -5.490
Hf 0.000 0.000 0.000
V 0.628 -4.987 -3.614
```

---

List of relative energies, unit eV/atom: entry one 0.217; entry two 0.000

---

Entry one
Here is crystalline Hf2VSb at its relaxed geometry from the Alexandria database. Energies are from PBE-GGA.

Output
- Calculated density: 10.0 g/cm³
- Space group: I-42d (122)

extended XYZ file:
```
8
Lattice="4.142 0.000 0.000 0.000 4.142 0.000 2.071 2.071 10.238" Properties=species:S:1:pos:R:3 pbc="T T T"
Sb 0.000 0.000 0.000
Sb 4.142 2.071 5.119
Hf 3.106 1.035 2.560
Hf 1.036 3.106 2.560
Hf 3.106 3.106 7.679
Hf 5.177 5.177 7.679
V 2.071 2.071 0.000
V 2.071 4.142 5.119
```

---

Entry two
Here is crystalline Hf2VSb at its relaxed geometry from the Alexandria database. Energies are from PBE-GGA.

Output
- Calculated density: 11.2 g/cm³
- Space group: P4/mmm (123)

extended XYZ file:
```
4
Lattice="-2.701 0.739 -2.655 -1.348 -4.293 0.175 -2.920 1.050 3.263" Properties=species:S:1:pos:R:3 pbc="T T T"
Sb -1.350 0.370 -1.327
Hf -1.460 0.525 1.632
Hf -0.674 -2.147 0.088
V -3.485 -1.252 0.392
```

---

Entry three
Here is crystalline Hf2VSb at its relaxed geometry from the Alexandria database. Energies are from PBE-GGA.

Output
- Calculated density: 10.5 g/cm³
- Space group: R-3m (166)

extended XYZ file:
```
4
Lattice="-2.968 -1.348 -0.376 -0.426 -3.207 0.546 -2.997 0.193 8.652" Properties=species:S:1:pos:R:3 pbc="T T T"
Sb -3.195 -2.181 4.411
Hf -1.566 -1.120 2.059
Hf -4.825 -3.242 6.763
V 0.000 0.000 0.000
```

---

List of relative energies, unit eV/atom: entry one 0.563; entry two 0.000; entry three 0.241

---

Entry one
Here is crystalline Hf2VSb at its relaxed geometry from the Alexandria database. Energies are from PBE-GGA.

Output
- Calculated density: 10.4 g/cm³
- Space group: P2_1/m (11)

extended XYZ file:
```
8
Lattice="-0.892 -3.044 1.051 5.762 -0.342 3.903 -3.150 4.489 5.043" Properties=species:S:1:pos:R:3 pbc="T T T"
Hf 0.868 2.090 7.559
Hf -0.405 -0.953 2.952
Hf 2.162 -1.105 4.691
Hf -2.327 2.279 5.394
V 4.908 -0.258 4.161
V 2.165 -0.202 1.995
Sb 3.444 0.952 6.426
Sb -0.415 0.033 5.824
```

---

Entry two
Here is crystalline Hf2VSb at its relaxed geometry from the Alexandria database. Energies are from PBE-GGA.

Output
- Calculated density: 11.2 g/cm³
- Space group: Fm-3m (225)

extended XYZ file:
```
4
Lattice="0.000 3.397 3.397 3.397 0.000 3.397 3.397 3.397 0.000" Properties=species:S:1:pos:R:3 pbc="T T T"
Sb 3.397 3.397 3.397
Hf 1.699 1.699 1.699
Hf 5.096 5.096 5.096
V 0.000 0.000 0.000
```

---

List of relative energies, unit eV/atom: entry one 0.000; entry two 0.156

---

Entry one
Here is crystalline HfSbW3 at its relaxed geometry from the Alexandria database. Energies are from PBE-GGA.

Output
- Calculated density: 12.4 g/cm³
- Space group: Pm-3m (221)

extended XYZ file:
```
5
Lattice="-1.790 -0.297 4.498 4.341 -1.419 1.633 1.216 4.628 0.790" Properties=species:S:1:pos:R:3 pbc="T T T"
Sb 0.000 0.000 0.000
Hf 1.884 1.456 3.461
W 2.170 -0.710 0.817
W 0.608 2.314 0.395
W -0.895 -0.149 2.249
```

---

Entry two
Here is crystalline HfSbW3 at its relaxed geometry from the Alexandria database. Energies are from PBE-GGA.

Output
- Calculated density: 12.2 g/cm³
- Space group: Pm-3m (221)

extended XYZ file:
```
5
Lattice="4.870 0.000 0.000 0.000 4.870 0.000 0.000 0.000 4.870" Properties=species:S:1:pos:R:3 pbc="T T T"
Sb 2.435 2.435 2.435
Hf 0.000 0.000 0.000
W 0.000 2.435 0.000
W 0.000 0.000 2.435
W 2.435 0.000 0.000
```

---

List of relative energies, unit eV/atom: entry one 0.000; entry two 0.265

---

Entry one
Here is crystalline YHfSb2 at its relaxed geometry from the Alexandria database. Energies are from PBE-GGA.

Output
- Calculated density: 8.6 g/cm³
- Space group: Fm-3m (225)

extended XYZ file:
```
4
Lattice="0.000 3.667 3.667 3.667 0.000 3.667 3.667 3.667 0.000" Properties=species:S:1:pos:R:3 pbc="T T T"
Y 0.000 0.000 0.000
Sb 1.834 1.834 1.834
Sb 5.501 5.501 5.501
Hf 3.667 3.667 3.667
```

---

Entry two
Here is crystalline YHfSb2 at its relaxed geometry from the Alexandria database. Energies are from PBE-GGA.

Output
- Calculated density: 6.9 g/cm³
- Space group: R-3m (166)

extended XYZ file:
```
4
Lattice="3.790 0.000 0.000 1.895 3.282 0.000 1.895 1.094 9.950" Properties=species:S:1:pos:R:3 pbc="T T T"
Y 0.000 0.000 0.000
Sb 1.895 1.094 6.889
Sb 5.685 3.282 3.061
Hf 3.790 2.188 4.975
```

---

Entry three
Here is crystalline YHfSb2 at its relaxed geometry from the Alexandria database. Energies are from PBE-GGA.

Output
- Calculated density: 7.8 g/cm³
- Space group: R3m (160)

extended XYZ file:
```
4
Lattice="-3.198 0.284 -2.666 -2.001 -3.448 -1.232 -6.306 -0.387 4.259" Properties=species:S:1:pos:R:3 pbc="T T T"
Y -5.791 -1.770 0.227
Hf -9.729 -2.503 1.607
Sb -5.263 -0.539 2.991
Sb -2.782 -0.902 -0.024
```

---

List of relative energies, unit eV/atom: entry one 0.230; entry two 0.581; entry three 0.000

---

Entry one
Here is crystalline HfZrSb2 at its relaxed geometry from the Alexandria database. Energies are from PBE-GGA.

Output
- Calculated density: 9.5 g/cm³
- Space group: Fm-3m (225)

extended XYZ file:
```
4
Lattice="0.000 3.556 3.556 3.556 0.000 3.556 3.556 3.556 0.000" Properties=species:S:1:pos:R:3 pbc="T T T"
Sb 1.778 1.778 1.778
Sb 5.334 5.334 5.334
Hf 3.556 3.556 3.556
Zr 0.000 0.000 0.000
```

---

Entry two
Here is crystalline HfZrSb2 at its relaxed geometry from the Alexandria database. Energies are from PBE-GGA.

Output
- Calculated density: 6.2 g/cm³
- Space group: I-42d (122)

extended XYZ file:
```
8
Lattice="6.527 0.000 0.000 0.000 6.527 0.000 3.264 3.264 6.493" Properties=species:S:1:pos:R:3 pbc="T T T"
Sb 4.928 1.632 1.623
Sb 1.600 4.895 1.623
Sb 4.895 4.863 4.869
Sb 8.159 8.191 4.869
Hf 0.000 0.000 0.000
Hf 6.527 3.264 3.246
Zr 3.264 3.264 0.000
Zr 3.264 6.527 3.246
```

---

List of relative energies, unit eV/atom: entry one 0.000; entry two 0.609